No. 1
The following is a PBE calculation of crystalline CsSe2SBr at its relaxed geometry, from Alexandria via LeMat-Bulk.

Properties
total moment	0.21	Bohr magnetons per cell
energy	-2.945	eV per atom
space group	P4/mmm (123)
uncorrected formation energy	-0.220	eV/atom
theoretical density	4.5	g/cm3

Cell lengths 5.038, 5.038, 5.874 Å; angles 90.00, 90.00, 90.00 degrees
Positions (direct):
Cs 0.500 0.500 0.500
S 0.000 0.000 0.000
Se 0.000 0.500 0.000
Se 0.500 0.000 0.000
Br 0.000 0.000 0.500

No. 2
The following is a PBE calculation of crystalline SnRuCl2 at its relaxed geometry, from Alexandria via LeMat-Bulk.

Properties
total moment	0.00	Bohr magnetons per cell
energy	-4.236	eV per atom
space group	R-3m (166)
uncorrected formation energy	0.007	eV/atom
theoretical density	4.5	g/cm3

Cell lengths 10.445, 10.445, 10.445 Å; angles 19.24, 19.24, 19.24 degrees
Positions (direct):
Ru 0.500 0.500 0.500
Sn 0.000 0.000 0.000
Cl 0.875 0.875 0.875
Cl 0.125 0.125 0.125

No. 3
The following is a PBE calculation of crystalline KWAu2 at its relaxed geometry, from Alexandria via LeMat-Bulk.

Properties
total moment	3.46	Bohr magnetons per cell
energy	-4.118	eV per atom
space group	Fm-3m (225)
formation energy	99.7	kJ/mol of atoms
theoretical density	11.9	g/cm3

Cell lengths 4.960, 4.960, 4.960 Å; angles 60.00, 60.00, 60.00 degrees
Positions (direct):
K 0.000 0.000 0.000
Au 0.250 0.250 0.250
Au 0.750 0.750 0.750
W 0.500 0.500 0.500

Repeat the third record exactly.
The following is a PBE calculation of crystalline KWAu2 at its relaxed geometry, from Alexandria via LeMat-Bulk.

Properties
total moment	3.46	Bohr magnetons per cell
energy	-4.118	eV per atom
space group	Fm-3m (225)
formation energy	99.7	kJ/mol of atoms
theoretical density	11.9	g/cm3

Cell lengths 4.960, 4.960, 4.960 Å; angles 60.00, 60.00, 60.00 degrees
Positions (direct):
K 0.000 0.000 0.000
Au 0.250 0.250 0.250
Au 0.750 0.750 0.750
W 0.500 0.500 0.500

Q: What is the total moment in the second record?
A: 0.00 Bohr magnetons per cell